VASP calculation (PBE) on an optimized crystal structure of TbSm2Cd. Values from VASP.

- Polymorph energy (0 for the lowest one): 88 meV per atom
- Formation energy from the elements: -0.054 eV/atom
- SG: R3m (160)

Structure (Quantum ESPRESSO input):
```
&SYSTEM
  ibrav = 0, nat = 4, ntyp = 3
/
ATOMIC_SPECIES
Tb 158.93 Tb.upf
Sm 150.36 Sm.upf
Cd 112.41 Cd.upf
CELL_PARAMETERS angstrom
1.8156 1.0482 10.9456
-1.8156 1.0482 10.9456
0.0000 -2.0965 10.9456
ATOMIC_POSITIONS angstrom
Tb 0.0000 0.0000 0.0000
Sm 0.0000 0.0000 18.9936
Sm 0.0000 0.0000 24.7992
Cd 0.0000 0.0000 5.4760
```



VASP calculation (PBE) on an optimized crystal structure of Tb6Sm2Cd. Values from VASP.

- Polymorph energy (0 for the lowest one): 0 meV per atom
- Formation energy from the elements: -0.032 eV/atom
- SG: P-1 (2)

Structure (Quantum ESPRESSO input):
```
&SYSTEM
  ibrav = 0, nat = 18, ntyp = 3
/
ATOMIC_SPECIES
Tb 158.93 Tb.upf
Sm 150.36 Sm.upf
Cd 112.41 Cd.upf
CELL_PARAMETERS angstrom
6.6035 0.0000 0.0000
-0.9424 9.0701 0.0000
-2.8243 -4.5274 9.3636
ATOMIC_POSITIONS angstrom
Tb -1.3275 0.7853 4.1098
Tb -0.2355 2.2715 1.0779
Tb 0.2385 -2.2628 5.2081
Tb -0.6794 -3.7766 8.3262
Tb 1.6815 5.2891 1.0388
Tb 0.8612 3.7572 4.1116
Tb 1.9756 0.7856 5.2520
Tb 1.1553 -0.7464 8.3248
Tb 3.5162 8.3193 1.0374
Tb 2.5983 6.8055 4.1555
Tb 3.0722 2.2712 8.2857
Tb 4.1642 3.7575 5.2538
Sm -2.1501 -0.6699 7.2129
Sm 1.1531 -0.6706 2.1503
Sm 1.6837 5.2133 7.2133
Sm 4.9869 5.2126 2.1507
Cd -0.2303 2.2721 7.3059
Cd 3.0671 2.2707 2.0577
```



VASP calculation (PBE) on an optimized crystal structure of TbSmCd4. Values from VASP.

- Polymorph energy (0 for the lowest one): 0 meV per atom
- Formation energy from the elements: -0.331 eV/atom
- SG: P2/m (10)

Structure (Quantum ESPRESSO input):
```
&SYSTEM
  ibrav = 0, nat = 6, ntyp = 3
/
ATOMIC_SPECIES
Tb 158.93 Tb.upf
Sm 150.36 Sm.upf
Cd 112.41 Cd.upf
CELL_PARAMETERS angstrom
3.4521 0.0000 0.0000
0.0000 5.0210 0.0000
-0.0136 0.0000 8.6719
ATOMIC_POSITIONS angstrom
Tb 0.0000 0.0000 0.0000
Sm -0.0068 2.5105 4.3360
Cd 1.7195 0.0000 2.8717
Cd 1.7121 2.5105 7.2404
Cd 1.7190 0.0000 5.8002
Cd 1.7265 2.5105 1.4316
```



VASP calculation (PBE) on an optimized crystal structure of TbSm4Cd5. Values from VASP.

- Formation energy from the elements: -0.317 eV/atom
- SG: P4/mmm (123)

Structure (Quantum ESPRESSO input):
```
&SYSTEM
  ibrav = 0, nat = 10, ntyp = 3
/
ATOMIC_SPECIES
Tb 158.93 Tb.upf
Sm 150.36 Sm.upf
Cd 112.41 Cd.upf
CELL_PARAMETERS angstrom
3.8035 0.0000 0.0000
0.0000 3.8035 0.0000
0.0000 0.0000 19.0125
ATOMIC_POSITIONS angstrom
Tb 0.0000 0.0000 0.0000
Sm 0.0000 0.0000 3.7627
Sm 0.0000 0.0000 7.5900
Sm 0.0000 0.0000 11.4225
Sm 0.0000 0.0000 15.2498
Cd 1.9018 1.9018 1.8261
Cd 1.9018 1.9018 5.6809
Cd 1.9018 1.9018 9.5062
Cd 1.9018 1.9018 13.3316
Cd 1.9018 1.9018 17.1864
```



These records have DFT total energy values of -15.2, -38.4, -15.0, -31.2 eV/f.u., in the order they appear.